AuF3 PBE-GGA optimized geometry; energy = -3.13 eV per atom; magnetization = 0.00 μB per formula unit; calculated density = 6.51 g/cm³; formation energy from raw total energies = -0.904 eV/atom
1.0
8.6876 0.7297 -1.2755
0.5408 3.7311 0.5650
-0.3460 -0.2702 4.0578
Au F
2 6
direct
0.2615 0.2470 0.5463 Au
0.7385 0.7531 0.4537 Au
0.2362 0.2217 0.0349 F
0.8912 0.2868 0.5669 F
0.4160 0.7801 0.6639 F
0.7638 0.7783 0.9651 F
0.1088 0.7131 0.4331 F
0.5840 0.2199 0.3361 F